First-principles (PBE) data for a relaxed structure of La8Sm3Cd, as listed in Alexandria via LeMat-Bulk.

a = 5.214 Å, b = 10.260 Å, c = 9.659 Å
α = 58.05°, β = 105.65°, γ = 89.99°
Positions (direct):
La: 0.414 0.705 0.827
La: 0.249 0.123 0.498
La: 0.913 0.963 0.826
La: 0.088 0.544 0.178
La: 0.921 0.450 0.841
La: 0.087 0.025 0.173
La: 0.584 0.291 0.168
La: 0.749 0.868 0.499
Sm: 0.413 0.213 0.825
Sm: 0.750 0.379 0.500
Sm: 0.578 0.794 0.157
Cd: 0.252 0.615 0.504

Results
**Total magnetization**: 0.00 μB/cell
**Energy of formation from the pure elements**: -0.21 eV/f.u.
**SG**: Cm (8)